No. 1
DFT (GGA-PBE) results for a relaxed Sb2AsCl crystal.

Values from the calculation:
- energy relative to the lowest polymorph listed for this composition (meV/atom) = 112.2
- Fermi-level density of states (states/eV/f.u.) = 2.08
- electronic total energy (eV per cell) = -14.89
- total moment (μB per formula unit) = 0.000
- energy relative to the elements, uncorrected (meV per atom) = -37

Cell lengths 3.972, 3.972, 8.242 Å; angles 90.00, 90.00, 90.00 degrees
Positions (direct):
Sb (0.000, 0.000, 0.000)
Sb (0.500, 0.500, 0.348)
As (0.000, 0.000, 0.318)
Cl (0.500, 0.500, 0.642)

No. 2
DFT (GGA-PBE) results for a relaxed SbAs2Cl crystal.

Values from the calculation:
- energy relative to the lowest polymorph listed for this composition (meV/atom) = 334.9
- Fermi-level density of states (states/eV/f.u.) = 2.38
- electronic total energy (eV per cell) = -14.42
- total moment (μB per formula unit) = 0.000
- energy relative to the elements, uncorrected (meV per atom) = 211

Cell lengths 6.325, 6.325, 6.325 Å; angles 147.83, 137.56, 54.23 degrees
Positions (direct):
Sb (0.000, 0.000, 0.000)
As (0.220, 0.720, 0.500)
As (0.780, 0.280, 0.500)
Cl (0.500, 0.500, 0.000)

No. 3
DFT (GGA-PBE) results for a relaxed Sb2AsCl crystal.

Values from the calculation:
- energy relative to the lowest polymorph listed for this composition (meV/atom) = 56.9
- Fermi-level density of states (states/eV/f.u.) = 0.87
- electronic total energy (eV per cell) = -15.11
- total moment (μB per formula unit) = 0.000
- energy relative to the elements, uncorrected (meV per atom) = -92

Cell lengths 7.517, 7.517, 7.517 Å; angles 148.96, 148.24, 45.01 degrees
Positions (direct):
Sb (0.000, 0.000, 0.000)
Sb (0.829, 0.329, 0.500)
As (0.355, 0.855, 0.500)
Cl (0.598, 0.598, 0.000)

No. 4
DFT (GGA-PBE) results for a relaxed SbAs3Cl crystal.

Values from the calculation:
- energy relative to the lowest polymorph listed for this composition (meV/atom) = 7.3
- Fermi-level density of states (states/eV/f.u.) = 7.07
- electronic total energy (eV per cell) = -15.14
- total moment (μB per formula unit) = 0.000
- energy relative to the elements, uncorrected (meV per atom) = 955

Cell lengths 5.330, 5.330, 5.330 Å; angles 90.00, 90.00, 90.00 degrees
Positions (direct):
Sb (0.000, 0.000, 0.000)
As (0.000, 0.000, 0.500)
As (0.000, 0.500, 0.000)
As (0.500, 0.000, 0.000)
Cl (0.500, 0.500, 0.500)

No. 5
DFT (GGA-PBE) results for a relaxed Sb2AsCl crystal.

Values from the calculation:
- energy relative to the lowest polymorph listed for this composition (meV/atom) = 228.0
- Fermi-level density of states (states/eV/f.u.) = 1.37
- electronic total energy (eV per cell) = -14.43
- total moment (μB per formula unit) = 0.000
- energy relative to the elements, uncorrected (meV per atom) = 79

Cell lengths 3.339, 3.339, 9.414 Å; angles 90.00, 90.00, 114.51 degrees
Positions (direct):
Sb (0.000, 0.000, 0.243)
Sb (0.000, 0.000, 0.757)
As (0.500, 0.500, 0.000)
Cl (0.500, 0.500, 0.500)

No. 6
DFT (GGA-PBE) results for a relaxed Sb2AsCl crystal.

Values from the calculation:
- energy relative to the lowest polymorph listed for this composition (meV/atom) = 101.6
- Fermi-level density of states (states/eV/f.u.) = 1.75
- electronic total energy (eV per cell) = -14.93
- total moment (μB per formula unit) = 0.000
- energy relative to the elements, uncorrected (meV per atom) = -47

Cell lengths 3.150, 4.312, 7.807 Å; angles 90.00, 90.29, 90.00 degrees
Positions (direct):
Sb (0.002, 0.000, 0.236)
Sb (0.998, 0.000, 0.764)
As (0.000, 0.500, 0.000)
Cl (0.000, 0.500, 0.500)

No. 7
DFT (GGA-PBE) results for a relaxed SbAs2Cl crystal.

Values from the calculation:
- energy relative to the lowest polymorph listed for this composition (meV/atom) = 449.1
- Fermi-level density of states (states/eV/f.u.) = 1.95
- electronic total energy (eV per cell) = -13.97
- total moment (μB per formula unit) = 0.000
- energy relative to the elements, uncorrected (meV per atom) = 325

Cell lengths 3.224, 3.224, 9.234 Å; angles 90.00, 90.00, 114.41 degrees
Positions (direct):
Sb (0.000, 0.000, 0.000)
As (0.500, 0.500, 0.258)
As (0.500, 0.500, 0.742)
Cl (0.000, 0.000, 0.500)

No. 8
DFT (GGA-PBE) results for a relaxed Sb3AsCl crystal.

Values from the calculation:
- energy relative to the lowest polymorph listed for this composition (meV/atom) = 410.6
- Fermi-level density of states (states/eV/f.u.) = 5.94
- electronic total energy (eV per cell) = -13.98
- total moment (μB per formula unit) = 0.000
- energy relative to the elements, uncorrected (meV per atom) = 976

Cell lengths 5.300, 5.300, 5.300 Å; angles 90.00, 90.00, 90.00 degrees
Positions (direct):
Sb (0.000, 0.000, 0.500)
Sb (0.000, 0.500, 0.000)
Sb (0.500, 0.000, 0.000)
As (0.500, 0.500, 0.500)
Cl (0.000, 0.000, 0.000)

No. 9
DFT (GGA-PBE) results for a relaxed Sb2AsCl crystal.

Values from the calculation:
- energy relative to the lowest polymorph listed for this composition (meV/atom) = 262.7
- Fermi-level density of states (states/eV/f.u.) = 3.82
- electronic total energy (eV per cell) = -14.29
- total moment (μB per formula unit) = 0.000
- energy relative to the elements, uncorrected (meV per atom) = 114

Cell lengths 5.088, 5.088, 5.088 Å; angles 60.00, 60.00, 60.00 degrees
Positions (direct):
Sb (0.250, 0.250, 0.250)
Sb (0.750, 0.750, 0.750)
As (0.000, 0.000, 0.000)
Cl (0.500, 0.500, 0.500)

No. 10
DFT (GGA-PBE) results for a relaxed SbAs2Cl crystal.

Values from the calculation:
- energy relative to the lowest polymorph listed for this composition (meV/atom) = 383.6
- Fermi-level density of states (states/eV/f.u.) = 2.18
- electronic total energy (eV per cell) = -14.23
- total moment (μB per formula unit) = 0.000
- energy relative to the elements, uncorrected (meV per atom) = 260

Cell lengths 6.550, 6.550, 2.999 Å; angles 90.00, 90.00, 132.67 degrees
Positions (direct):
Sb (0.000, 0.000, 0.000)
As (0.000, 0.500, 0.500)
As (0.500, 0.000, 0.500)
Cl (0.500, 0.500, 0.000)